No. 1
Entry from Alexandria: a relaxed Th2Ni9Pd crystal (PBE).

Values from the calculation:
**E_form**: -234 meV/atom
**Size of the total moment**: 1.874 μB/cell
**Calculated density**: 10.5 g/cm³

Lattice parameters (Å, degrees): 4.9966 4.9966 8.5318 72.97 72.97 60.00
Sites, in units of the cell vectors:
Ni: 0.3331 0.3331 0.0008
Ni: 0.4182 0.4182 0.2424
Ni: 0.5818 0.0788 0.7576
Ni: 0.5818 0.5818 0.7576
Ni: 0.0788 0.5818 0.7576
Ni: 0.5000 0.5000 0.5000
Ni: 0.9212 0.4182 0.2424
Ni: 0.4182 0.9212 0.2424
Ni: 0.6669 0.6669 0.9992
Pd: 0.0000 0.0000 0.0000
Th: 0.8715 0.8715 0.3854
Th: 0.1285 0.1285 0.6146

=====

No. 2
Entry from Alexandria: a relaxed Th2NiPd crystal (PBE).

Values from the calculation:
**E_form**: -568 meV/atom
**Size of the total moment**: 0.000 μB/cell
**Calculated density**: 11.2 g/cm³
**Distance to the lowest polymorph of the same formula**: 0.00 eV per formula unit

Lattice parameters (Å, degrees): 4.4089 5.9353 7.6574 111.18 90.00 90.00
Sites, in units of the cell vectors:
Th: 0.2500 0.7839 0.5653
Th: 0.2500 0.7689 0.0740
Th: 0.7500 0.2311 0.9260
Th: 0.7500 0.2161 0.4347
Pd: 0.7500 0.6683 0.7896
Pd: 0.2500 0.3317 0.2104
Ni: 0.2500 0.3280 0.7082
Ni: 0.7500 0.6720 0.2918

=====

No. 3
Entry from Alexandria: a relaxed Th4NiPd crystal (PBE).

Values from the calculation:
**E_form**: -385 meV/atom
**Size of the total moment**: 0.000 μB/cell
**Calculated density**: 11.7 g/cm³
**Distance to the lowest polymorph of the same formula**: 0.00 eV per formula unit

Lattice parameters (Å, degrees): 5.9561 7.2089 7.2089 90.00 90.00 90.00
Sites, in units of the cell vectors:
Th: 0.0000 0.8276 0.3411
Th: 0.0000 0.6589 0.8276
Th: 0.5000 0.8276 0.6589
Th: 0.0000 0.1724 0.6589
Th: 0.5000 0.1724 0.3411
Th: 0.5000 0.6589 0.1724
Th: 0.5000 0.3411 0.8276
Th: 0.0000 0.3411 0.1724
Ni: 0.2500 0.5000 0.5000
Ni: 0.7500 0.5000 0.5000
Pd: 0.2500 0.0000 0.0000
Pd: 0.7500 0.0000 0.0000

=====

No. 4
Entry from Alexandria: a relaxed Th2Ni3Pd crystal (PBE).

Values from the calculation:
**E_form**: -496 meV/atom
**Size of the total moment**: 0.000 μB/cell
**Calculated density**: 10.7 g/cm³

Lattice parameters (Å, degrees): 5.4536 5.4536 8.6656 106.94 106.94 94.23
Sites, in units of the cell vectors:
Ni: 0.8286 0.8286 0.6573
Ni: 0.3083 0.8449 0.1532
Ni: 0.6917 0.1551 0.8468
Ni: 0.8449 0.3083 0.1532
Ni: 0.1551 0.6917 0.8468
Ni: 0.1714 0.1714 0.3427
Th: 0.7503 0.7503 0.0000
Th: 0.7500 0.2500 0.5000
Th: 0.2500 0.7500 0.5000
Th: 0.2497 0.2497 0.0000
Pd: 0.3358 0.3358 0.6716
Pd: 0.6642 0.6642 0.3284

=====

No. 5
Entry from Alexandria: a relaxed ThNi8Pd3 crystal (PBE).

Values from the calculation:
**E_form**: -187 meV/atom
**Size of the total moment**: 3.232 μB/cell
**Calculated density**: 10.4 g/cm³

Lattice parameters (Å, degrees): 4.8685 4.8685 7.9052 90.00 90.00 120.00
Sites, in units of the cell vectors:
Ni: 0.3333 0.6667 0.9980
Ni: 0.9954 0.4977 0.7612
Ni: 0.1657 0.3314 0.2411
Ni: 0.1657 0.8343 0.2411
Ni: 0.3333 0.6667 0.4958
Ni: 0.6686 0.8343 0.2411
Ni: 0.5023 0.4977 0.7612
Ni: 0.5023 0.0046 0.7612
Pd: 0.0000 0.0000 0.9506
Pd: 0.6667 0.3333 0.4217
Pd: 0.6667 0.3333 0.0603
Th: 0.0000 0.0000 0.5668

=====

No. 6
Entry from Alexandria: a relaxed Th4Ni3Pd crystal (PBE).

Values from the calculation:
**E_form**: -492 meV/atom
**Size of the total moment**: 0.000 μB/cell
**Calculated density**: 11.2 g/cm³

Lattice parameters (Å, degrees): 3.7572 4.3831 10.9401 90.00 90.00 90.00
Sites, in units of the cell vectors:
Th: 0.0000 0.5000 0.8540
Th: 0.5000 0.5000 0.3726
Th: 0.0000 0.0000 0.1414
Th: 0.5000 0.0000 0.6391
Ni: 0.5000 0.0000 0.9136
Ni: 0.0000 0.0000 0.4221
Ni: 0.0000 0.5000 0.5775
Pd: 0.5000 0.5000 0.0796

=====

No. 7
Entry from Alexandria: a relaxed ThNiPd crystal (PBE).

Values from the calculation:
**E_form**: -559 meV/atom
**Size of the total moment**: 0.000 μB/cell
**Calculated density**: 10.9 g/cm³

Lattice parameters (Å, degrees): 3.6773 4.3637 4.3637 120.00 90.00 90.00
Sites, in units of the cell vectors:
Ni: 0.1658 0.0000 0.0000
Pd: 0.1673 0.6667 0.3333
Th: 0.6669 0.3333 0.6667

=====

No. 8
Entry from Alexandria: a relaxed Th4NiPd crystal (PBE).

Values from the calculation:
**E_form**: -206 meV/atom
**Size of the total moment**: 0.000 μB/cell
**Calculated density**: 11.3 g/cm³
**Distance to the lowest polymorph of the same formula**: 1.08 eV per formula unit

Lattice parameters (Å, degrees): 6.6848 6.6848 5.9372 124.26 124.26 90.00
Sites, in units of the cell vectors:
Pd: 0.7500 0.2500 0.5000
Ni: 0.5000 0.5000 0.0000
Th: 0.6186 0.7027 0.7675
Th: 0.1488 0.0647 0.7675
Th: 0.9353 0.3814 0.2325
Th: 0.2973 0.8512 0.2325

=====

No. 9
Entry from Alexandria: a relaxed Th4NiPd15 crystal (PBE).

Values from the calculation:
**E_form**: -752 meV/atom
**Size of the total moment**: 1.123 μB/cell
**Calculated density**: 11.9 g/cm³

Lattice parameters (Å, degrees): 4.2115 4.2115 20.3014 90.00 90.00 90.00
Sites, in units of the cell vectors:
Pd: 0.0000 0.5000 0.0878
Pd: 0.5000 0.0000 0.5000
Pd: 0.0000 0.5000 0.2935
Pd: 0.0000 0.5000 0.7065
Pd: 0.5000 0.0000 0.7065
Pd: 0.5000 0.5000 0.0000
Pd: 0.0000 0.5000 0.9122
Pd: 0.5000 0.5000 0.8082
Pd: 0.5000 0.5000 0.3971
Pd: 0.5000 0.5000 0.6029
Pd: 0.5000 0.0000 0.9122
Pd: 0.5000 0.0000 0.2935
Pd: 0.0000 0.5000 0.5000
Pd: 0.5000 0.5000 0.1918
Pd: 0.5000 0.0000 0.0878
Th: 0.0000 0.0000 0.1825
Th: 0.0000 0.0000 0.3945
Th: 0.0000 0.0000 0.6055
Th: 0.0000 0.0000 0.8175
Ni: 0.0000 0.0000 0.0000

=====

No. 10
Entry from Alexandria: a relaxed ThNiPd crystal (PBE).

Values from the calculation:
**E_form**: -666 meV/atom
**Size of the total moment**: 0.000 μB/cell
**Calculated density**: 11.5 g/cm³

Lattice parameters (Å, degrees): 5.3230 6.3556 7.3087 111.29 90.00 90.00
Sites, in units of the cell vectors:
Ni: 0.1335 0.3389 0.4877
Ni: 0.3665 0.3389 0.9877
Ni: 0.6335 0.6611 0.0123
Ni: 0.8665 0.6611 0.5123
Pd: 0.5838 0.9218 0.7966
Pd: 0.0838 0.0782 0.7034
Pd: 0.4162 0.0782 0.2034
Pd: 0.9162 0.9218 0.2966
Th: 0.6201 0.2981 0.6177
Th: 0.3799 0.7019 0.3823
Th: 0.1201 0.7019 0.8823
Th: 0.8799 0.2981 0.1177

=====

No. 11
Entry from Alexandria: a relaxed Th2NiPd crystal (PBE).

Values from the calculation:
**E_form**: -423 meV/atom
**Size of the total moment**: 0.000 μB/cell
**Calculated density**: 11.4 g/cm³
**Distance to the lowest polymorph of the same formula**: 0.58 eV per formula unit

Lattice parameters (Å, degrees): 5.0563 5.0563 5.0563 60.00 60.00 60.00
Sites, in units of the cell vectors:
Ni: 0.5000 0.5000 0.5000
Pd: 0.0000 0.0000 0.0000
Th: 0.2500 0.2500 0.2500
Th: 0.7500 0.7500 0.7500

=====

No. 12
Entry from Alexandria: a relaxed ThNiPd crystal (PBE).

Values from the calculation:
**E_form**: -475 meV/atom
**Size of the total moment**: 0.000 μB/cell
**Calculated density**: 11.0 g/cm³

Lattice parameters (Å, degrees): 3.6918 3.6918 5.1067 111.19 111.19 90.00
Sites, in units of the cell vectors:
Pd: 0.9510 0.9510 0.9020
Th: 0.6216 0.6216 0.2433
Ni: 0.2773 0.2773 0.5547